Compound: HfMgRh2O
Source: Alexandria
Functional: GGA-PBE
Structure: optimized geometry

Output
The calculation puts the density at 7.13 g cm⁻³. The formation energy without anion corrections comes out at 1.36 eV/atom. The calculation puts the density of states at the Fermi level at 1.00 states/eV per atom.

a = 4.3259 Å, b = 4.3259 Å, c = 5.2824 Å
α = 90.00°, β = 90.00°, γ = 90.00°
Space group P4/mmm (No. 123)
Inequivalent atoms, fractional coordinates:
Hf 0.0000 0.0000 0.0000
Mg 0.0000 0.0000 0.5000
Rh 0.0000 0.5000 0.5000
O 0.5000 0.5000 0.0000